ScAg3Os | SCAN | single point on PBEsol structure Values from VASP.

The structure in Quantum ESPRESSO input format:
```
&SYSTEM
  ibrav = 0, nat = 5, ntyp = 3
/
ATOMIC_SPECIES
Os 190.23 Os.upf
Ag 107.87 Ag.upf
Sc 44.96 Sc.upf
ATOMIC_POSITIONS angstrom
Os -4.0635 -0.3085 -0.2108
Ag -1.5261 1.6816 0.6274
Ag -1.2345 -0.3857 -1.9692
Sc 0.0000 0.0000 0.0000
Ag -1.3028 -1.6044 1.1310
CELL_PARAMETERS angstrom
-2.4691 -0.7713 -3.9384
-2.6056 -3.2088 2.2619
-3.0523 3.3631 1.2549
```

## Properties
Symmetry: Pm-3m
ΔH_f (0 K) in eV/f.u.: 9.82

---

ScAg2Os | SCAN | single point on PBEsol structure Values from VASP.

The structure in Quantum ESPRESSO input format:
```
&SYSTEM
  ibrav = 0, nat = 4, ntyp = 3
/
ATOMIC_SPECIES
Ag 107.87 Ag.upf
Sc 44.96 Sc.upf
Os 190.23 Os.upf
ATOMIC_POSITIONS angstrom
Ag 1.1525 -0.1946 2.7318
Sc 0.0000 0.0000 0.0000
Ag 3.2810 -0.7193 7.9727
Os 2.2168 -0.4569 5.3522
CELL_PARAMETERS angstrom
-1.5071 -1.2822 1.9753
0.7683 -2.5234 0.9269
5.1723 2.8918 7.8024
```

## Properties
Symmetry: R-3m
ΔH_f (0 K) in eV/f.u.: 1.95

---

ScAg2Os | SCAN | single point on PBEsol structure Values from VASP.

The structure in Quantum ESPRESSO input format:
```
&SYSTEM
  ibrav = 0, nat = 4, ntyp = 3
/
ATOMIC_SPECIES
Sc 44.96 Sc.upf
Os 190.23 Os.upf
Ag 107.87 Ag.upf
ATOMIC_POSITIONS angstrom
Sc -1.4383 -1.8671 0.7487
Os -0.5283 0.1639 -1.2750
Ag -0.6220 2.4366 1.1321
Ag -2.5885 0.7334 0.6058
CELL_PARAMETERS angstrom
-1.0566 0.3279 -2.5499
-2.8765 -3.7343 1.4974
-1.2439 4.8731 2.2642
```

## Properties
Symmetry: C2/m
ΔH_f (0 K) in eV/f.u.: 0.78

---

ScAgOs | SCAN | single point on PBEsol structure Values from VASP.

The structure in Quantum ESPRESSO input format:
```
&SYSTEM
  ibrav = 0, nat = 3, ntyp = 3
/
ATOMIC_SPECIES
Os 190.23 Os.upf
Ag 107.87 Ag.upf
Sc 44.96 Sc.upf
ATOMIC_POSITIONS angstrom
Os 1.4350 1.4350 2.0904
Ag 0.0000 0.0000 0.0814
Sc 0.0000 0.0000 3.9273
CELL_PARAMETERS angstrom
2.8701 0.0000 0.0000
0.0000 2.8701 0.0000
-1.4350 -1.4350 6.0992
```

## Properties
Symmetry: I4mm
ΔH_f (0 K) in eV/f.u.: 0.44

---

AgOsSe2 | SCAN | single point on PBEsol structure Values from VASP.

The structure in Quantum ESPRESSO input format:
```
&SYSTEM
  ibrav = 0, nat = 4, ntyp = 3
/
ATOMIC_SPECIES
Se 78.96 Se.upf
Os 190.23 Os.upf
Ag 107.87 Ag.upf
ATOMIC_POSITIONS angstrom
Se -0.0893 0.0000 5.8909
Se 2.8434 0.0000 2.1579
Os -0.0621 1.5622 4.0042
Ag 1.4391 1.5622 0.0203
CELL_PARAMETERS angstrom
2.8782 0.0000 0.0405
0.0000 3.1243 0.0000
-0.1242 0.0000 8.0084
```

## Properties
Symmetry: P2/m
Energy relative to the elements, uncorrected in meV/atom: 448.7

---

AgOsSe2 | SCAN | single point on PBEsol structure Values from VASP.

The structure in Quantum ESPRESSO input format:
```
&SYSTEM
  ibrav = 0, nat = 4, ntyp = 3
/
ATOMIC_SPECIES
Se 78.96 Se.upf
Os 190.23 Os.upf
Ag 107.87 Ag.upf
ATOMIC_POSITIONS angstrom
Se 4.4287 2.5569 0.5464
Se 4.4287 2.5569 6.9185
Os 1.4762 0.8523 2.2879
Ag 2.9524 1.7046 4.5803
CELL_PARAMETERS angstrom
2.9524 0.0000 0.0000
1.4762 2.5569 0.0000
1.4762 0.8523 9.5555
```

## Properties
Symmetry: R3m
Energy relative to the elements, uncorrected in meV/atom: 393.8

---

AgOs2Se | SCAN | single point on PBEsol structure Values from VASP.

The structure in Quantum ESPRESSO input format:
```
&SYSTEM
  ibrav = 0, nat = 4, ntyp = 3
/
ATOMIC_SPECIES
Se 78.96 Se.upf
Ag 107.87 Ag.upf
Os 190.23 Os.upf
ATOMIC_POSITIONS angstrom
Se 1.5386 2.2011 2.2011
Ag 1.5386 0.0000 0.0000
Os 0.0000 0.0000 2.2011
Os 0.0000 2.2011 0.0000
CELL_PARAMETERS angstrom
3.0771 0.0000 0.0000
0.0000 4.4021 0.0000
0.0000 0.0000 4.4021
```

## Properties
Symmetry: P4/mmm
Energy relative to the elements, uncorrected in meV/atom: 1195.0

---

AgOs2Se | SCAN | single point on PBEsol structure Values from VASP.

The structure in Quantum ESPRESSO input format:
```
&SYSTEM
  ibrav = 0, nat = 4, ntyp = 3
/
ATOMIC_SPECIES
Os 190.23 Os.upf
Ag 107.87 Ag.upf
Se 78.96 Se.upf
ATOMIC_POSITIONS angstrom
Os 0.0000 0.0000 6.9697
Ag 0.7176 1.2015 0.0000
Os 0.0000 0.0000 2.4166
Se 0.7176 1.2015 4.6932
CELL_PARAMETERS angstrom
2.7269 0.0015 0.0000
-1.2916 2.4016 0.0000
0.0000 0.0000 9.3864
```

## Properties
Symmetry: Cmmm
Energy relative to the elements, uncorrected in meV/atom: 1058.7

---

AgOs2Se | SCAN | single point on PBEsol structure Values from VASP.

The structure in Quantum ESPRESSO input format:
```
&SYSTEM
  ibrav = 0, nat = 4, ntyp = 3
/
ATOMIC_SPECIES
Os 190.23 Os.upf
Ag 107.87 Ag.upf
Se 78.96 Se.upf
ATOMIC_POSITIONS angstrom
Os -1.9672 0.0229 1.1303
Ag -1.6460 -2.6597 1.0108
Se -0.6114 -0.8339 -1.0472
Os 0.9326 -1.8487 0.9277
CELL_PARAMETERS angstrom
-1.2228 -1.6678 -2.0943
1.8652 -3.6974 1.8554
-3.9344 0.0458 2.2606
```

## Properties
Symmetry: Cmmm
Energy relative to the elements, uncorrected in meV/atom: 1195.6

---

AgOs2Se | SCAN | single point on PBEsol structure Values from VASP.

The structure in Quantum ESPRESSO input format:
```
&SYSTEM
  ibrav = 0, nat = 4, ntyp = 3
/
ATOMIC_SPECIES
Os 190.23 Os.upf
Se 78.96 Se.upf
Ag 107.87 Ag.upf
ATOMIC_POSITIONS angstrom
Os -1.6239 -1.8839 2.2850
Se 0.5858 -0.6561 2.0461
Os -2.5684 0.1900 0.7962
Ag -0.2190 -1.3751 -0.3782
CELL_PARAMETERS angstrom
-0.4379 -2.7501 -0.7565
1.1715 -1.3122 4.0923
-4.9259 2.3684 -0.2546
```

## Properties
Symmetry: Immm
Energy relative to the elements, uncorrected in meV/atom: 813.4

---

AgOs3Se | SCAN | single point on PBEsol structure Values from VASP.

The structure in Quantum ESPRESSO input format:
```
&SYSTEM
  ibrav = 0, nat = 5, ntyp = 3
/
ATOMIC_SPECIES
Os 190.23 Os.upf
Ag 107.87 Ag.upf
Se 78.96 Se.upf
ATOMIC_POSITIONS angstrom
Os 2.3465 0.0000 0.0000
Ag 0.0000 0.0000 0.0000
Se 2.3465 2.3465 2.3465
Os 0.0000 2.3465 0.0000
Os 0.0000 0.0000 2.3465
CELL_PARAMETERS angstrom
4.6929 0.0000 0.0000
0.0000 4.6929 0.0000
0.0000 0.0000 4.6929
```

## Properties
Symmetry: Pm-3m
Energy relative to the elements, uncorrected in meV/atom: 3366.3

---

AgOs2Se | SCAN | single point on PBEsol structure Values from VASP.

The structure in Quantum ESPRESSO input format:
```
&SYSTEM
  ibrav = 0, nat = 4, ntyp = 3
/
ATOMIC_SPECIES
Ag 107.87 Ag.upf
Os 190.23 Os.upf
Se 78.96 Se.upf
ATOMIC_POSITIONS angstrom
Ag 0.0000 2.3332 2.3817
Os 1.3970 2.3332 0.0000
Os 0.0000 0.0000 0.0000
Se 1.3970 0.0000 2.3817
CELL_PARAMETERS angstrom
2.7941 0.0000 0.0000
0.0000 4.6664 0.0000
0.0000 0.0000 4.7635
```

## Properties
Symmetry: Pmmm
Energy relative to the elements, uncorrected in meV/atom: 1087.6

---

no.,calculated density (g/cm³)
1,8.9
2,11.4
3,11.4
4,11.3
5,10.5
6,10.5
7,15.8
8,15.3
9,15.7
10,15.3
11,12.2
12,15.2